# 1
Density functional theory data (PBE-GGA) for LiMgMoOs after structural relaxation.

The structure belongs to space group F-43m (No. 216); the cell edges are 6.181, 6.181 and 6.181 Å and the angles 90.00°, 90.00° and 90.00°. The asymmetric unit holds Li at (0.000, 0.000, 0.000), Mg at (0.250, 0.250, 0.750), Mo at (0.250, 0.250, 0.250) and Os at (0.000, 0.000, 0.500).

The value obtained for the energy relative to the elements is 1.56 kcal/mol of atoms. As for the total energy: -101.196 eV per cell. The value obtained for the spin magnetization is 0.00 μB per formula unit.

# 2
Density functional theory data (PBE-GGA) for Li2MgMoPd after structural relaxation.

The structure belongs to space group P4/mmm (No. 123); the cell edges are 4.553, 4.553 and 4.710 Å and the angles 90.00°, 90.00° and 90.00°. The asymmetric unit holds Li at (0.000, 0.500, 0.000), Mg at (0.000, 0.000, 0.000), Mo at (0.500, 0.500, 0.500) and Pd at (0.000, 0.000, 0.500).

The value obtained for the energy relative to the elements is 22.16 kcal/mol of atoms. As for the total energy: -16.643 eV per cell. The value obtained for the spin magnetization is 4.08 μB per formula unit.

# 3
Density functional theory data (PBE-GGA) for LiMgMoRh after structural relaxation.

The structure belongs to space group F-43m (No. 216); the cell edges are 6.179, 6.179 and 6.179 Å and the angles 90.00°, 90.00° and 90.00°. The asymmetric unit holds Li at (0.000, 0.000, 0.000), Mg at (0.250, 0.250, 0.750), Mo at (0.250, 0.250, 0.250) and Rh at (0.000, 0.000, 0.500).

The value obtained for the energy relative to the elements is -1.41 kcal/mol of atoms. As for the total energy: -87.742 eV per cell. The value obtained for the spin magnetization is 0.00 μB per formula unit.